(1)
A plane-wave DFT calculation with PBE was carried out for an optimized crystal structure of ScPb3F.

E_form (uncorrected) in eV per atom: 0.045
M_tot in μB/atom: 0.0000
Distance to the lowest polymorph of the same formula in eV/atom: 0.573

POSCAR file:
```
ScPb3F
1.0
5.652 0.000 0.000
0.000 5.652 0.000
0.000 0.000 5.652
Sc Pb F
1 3 1
Direct
0.000 0.000 0.000
0.000 0.000 0.500
0.000 0.500 0.000
0.500 0.000 0.000
0.500 0.500 0.500
```

=====

(2)
A plane-wave DFT calculation with PBE was carried out for an optimized crystal structure of Sc2Pb2F.

E_form (uncorrected) in eV per atom: -1.101
M_tot in μB/atom: 0.0000

POSCAR file:
```
Sc2Pb2F
1.0
6.415 0.000 0.000
0.000 6.415 0.000
0.000 0.000 5.249
Sc Pb F
4 4 2
Direct
0.170 0.330 0.000
0.330 0.830 0.000
0.670 0.170 0.000
0.830 0.670 0.000
0.175 0.675 0.500
0.325 0.175 0.500
0.675 0.825 0.500
0.825 0.325 0.500
0.000 0.000 0.000
0.500 0.500 0.000
```

=====

(3)
A plane-wave DFT calculation with PBE was carried out for an optimized crystal structure of ScPbF3.

E_form (uncorrected) in eV per atom: -2.499
M_tot in μB/atom: 0.0498
Distance to the lowest polymorph of the same formula in eV/atom: 0.000

POSCAR file:
```
ScPbF3
1.0
4.335 0.000 0.000
0.000 4.335 0.000
0.000 0.000 4.335
Sc Pb F
1 1 3
Direct
0.000 0.000 0.000
0.500 0.500 0.500
0.000 0.000 0.500
0.000 0.500 0.000
0.500 0.000 0.000
```

=====

(4)
A plane-wave DFT calculation with PBE was carried out for an optimized crystal structure of ScPbF2.

E_form (uncorrected) in eV per atom: -1.428
M_tot in μB/atom: 0.2772
Distance to the lowest polymorph of the same formula in eV/atom: 0.847

POSCAR file:
```
ScPbF2
1.0
0.000 3.249 3.249
3.249 0.000 3.249
3.249 3.249 0.000
Sc Pb F
1 1 2
Direct
0.000 0.000 0.000
0.500 0.500 0.500
0.250 0.250 0.250
0.750 0.750 0.750
```

=====

(5)
A plane-wave DFT calculation with PBE was carried out for an optimized crystal structure of Sc2PbF.

E_form (uncorrected) in eV per atom: -0.966
M_tot in μB/atom: 0.2500
Distance to the lowest polymorph of the same formula in eV/atom: 0.347

POSCAR file:
```
Sc2PbF
1.0
0.000 3.467 3.467
3.467 0.000 3.467
3.467 3.467 0.000
Sc Pb F
2 1 1
Direct
0.250 0.250 0.250
0.750 0.750 0.750
0.000 0.000 0.000
0.500 0.500 0.500
```

=====

(6)
A plane-wave DFT calculation with PBE was carried out for an optimized crystal structure of ScPbSe2F.

E_form (uncorrected) in eV per atom: -1.746
M_tot in μB/atom: 0.0000

POSCAR file:
```
ScPbSe2F
1.0
5.330 0.000 0.000
0.000 5.330 0.000
0.000 0.000 4.061
Sc Pb Se F
1 1 2 1
Direct
0.000 0.000 0.000
0.500 0.500 0.500
0.000 0.500 0.000
0.500 0.000 0.000
0.000 0.000 0.500
```

=====

(7)
A plane-wave DFT calculation with PBE was carried out for an optimized crystal structure of ScTe2PbF.

E_form (uncorrected) in eV per atom: -1.486
M_tot in μB/atom: 0.0000

POSCAR file:
```
ScTe2PbF
1.0
5.755 0.000 0.000
0.000 5.755 0.000
0.000 0.000 4.096
Sc Te Pb F
1 2 1 1
Direct
0.000 0.000 0.000
0.000 0.500 0.000
0.500 0.000 0.000
0.500 0.500 0.500
0.000 0.000 0.500
```

=====

(8)
A plane-wave DFT calculation with PBE was carried out for an optimized crystal structure of ScTlPbF6.

E_form (uncorrected) in eV per atom: -2.939
M_tot in μB/atom: 0.0000

POSCAR file:
```
ScTlPbF6
1.0
-3.949 4.005 5.384
3.949 -4.005 5.384
3.949 4.005 -5.384
Sc Tl Pb F
2 2 2 12
Direct
0.500 0.000 0.000
0.500 0.500 0.500
0.142 0.392 0.750
0.858 0.608 0.250
0.000 0.000 0.000
0.500 0.000 0.500
0.122 0.872 0.250
0.191 0.396 0.349
0.191 0.842 0.795
0.446 0.196 0.250
0.453 0.158 0.849
0.453 0.604 0.295
0.547 0.396 0.705
0.547 0.842 0.151
0.554 0.804 0.750
0.809 0.158 0.205
0.809 0.604 0.651
0.878 0.128 0.750
```

=====

(9)
A plane-wave DFT calculation with PBE was carried out for an optimized crystal structure of ScTl2PbF6.

E_form (uncorrected) in eV per atom: -2.546
M_tot in μB/atom: 0.0919

POSCAR file:
```
ScTl2PbF6
1.0
6.022 0.000 0.000
0.000 8.961 0.000
0.000 0.000 7.309
Sc Tl Pb F
2 4 2 12
Direct
0.250 0.250 0.231
0.750 0.750 0.769
0.250 0.018 0.791
0.250 0.482 0.791
0.750 0.518 0.209
0.750 0.982 0.209
0.250 0.750 0.285
0.750 0.250 0.715
0.001 0.250 0.417
0.015 0.250 0.027
0.250 0.021 0.217
0.250 0.479 0.217
0.485 0.250 0.027
0.499 0.250 0.417
0.501 0.750 0.583
0.515 0.750 0.973
0.750 0.521 0.783
0.750 0.979 0.783
0.985 0.750 0.973
0.999 0.750 0.583
```

=====

(10)
A plane-wave DFT calculation with PBE was carried out for an optimized crystal structure of Sc3Tl2PbF12.

E_form (uncorrected) in eV per atom: -3.170
M_tot in μB/atom: 0.0523

POSCAR file:
```
Sc3Tl2PbF12
1.0
3.952 2.281 6.040
-3.952 2.281 6.040
0.000 -4.563 6.040
Sc Tl Pb F
3 2 1 12
Direct
0.000 0.500 0.500
0.500 0.000 0.500
0.500 0.500 0.000
0.131 0.131 0.131
0.869 0.869 0.869
0.500 0.500 0.500
0.082 0.626 0.626
0.210 0.210 0.590
0.210 0.590 0.210
0.374 0.374 0.918
0.374 0.918 0.374
0.410 0.790 0.790
0.590 0.210 0.210
0.626 0.082 0.626
0.626 0.626 0.082
0.790 0.410 0.790
0.790 0.790 0.410
0.918 0.374 0.374
```

=====

(11)
A plane-wave DFT calculation with PBE was carried out for an optimized crystal structure of Pb4Se3F2.

E_form (uncorrected) in eV per atom: -1.088
M_tot in μB/atom: 0.0000

POSCAR file:
```
Pb4Se3F2
1.0
6.375 -5.197 0.000
6.375 5.197 0.000
-0.653 0.000 7.342
Pb Se F
8 6 4
Direct
0.058 0.739 0.992
0.261 0.942 0.508
0.264 0.422 0.428
0.422 0.264 0.928
0.578 0.736 0.072
0.736 0.578 0.572
0.739 0.058 0.492
0.942 0.261 0.008
0.013 0.255 0.622
0.255 0.013 0.122
0.400 0.600 0.750
0.600 0.400 0.250
0.745 0.987 0.878
0.987 0.745 0.378
0.171 0.434 0.076
0.434 0.171 0.576
0.566 0.829 0.424
0.829 0.566 0.924
```

=====

(12)
A plane-wave DFT calculation with PBE was carried out for an optimized crystal structure of PbSe2F.

E_form (uncorrected) in eV per atom: -0.277
M_tot in μB/atom: 0.0000
Distance to the lowest polymorph of the same formula in eV/atom: 0.598

POSCAR file:
```
PbSe2F
1.0
2.264 1.307 4.789
-2.264 1.307 4.789
0.000 -2.615 4.789
Pb Se F
1 2 1
Direct
0.000 0.000 0.000
0.219 0.219 0.219
0.781 0.781 0.781
0.500 0.500 0.500
```